VASP calculation (GGA-PBE) on a relaxed structure of Ce4SmPb5.

Cell: 4.209 4.209 16.745 Å, 90.00 90.00 90.00°
Space group P4/mmm (No. 123)
Symmetry-distinct sites (fractional):
Ce  0.000  0.000  0.098 (multiplicity 2)
Ce  0.000  0.000  0.295 (multiplicity 2)
Sm  0.000  0.000  0.500 (multiplicity 1)
Pb  0.500  0.500  0.000 (multiplicity 1)
Pb  0.500  0.500  0.198 (multiplicity 2)
Pb  0.500  0.500  0.400 (multiplicity 2)

Results
* spin magnetization: 4.847 Bohr magnetons per cell
* energy relative to the elements: -4.088 eV/f.u.

---

VASP calculation (GGA-PBE) on a relaxed structure of CeSm3Pb2.

Cell: 4.610 4.610 8.848 Å, 90.00 90.00 90.00°
Space group P-4m2 (No. 115)
Symmetry-distinct sites (fractional):
Ce  0.000  0.000  0.000 (multiplicity 1)
Sm  0.000  0.500  0.349 (multiplicity 2)
Sm  0.500  0.500  0.000 (multiplicity 1)
Pb  0.000  0.500  0.718 (multiplicity 2)

Results
* spin magnetization: 0.600 Bohr magnetons per cell
* distance to the lowest polymorph of the same formula: 0.000 eV/atom
* energy relative to the elements: -2.406 eV/f.u.

---

VASP calculation (GGA-PBE) on a relaxed structure of CeSmPb2.

Cell: 3.6255 3.6255 32.0521 Å, 90.00 90.00 120.00°
Space group R-3m (No. 166, hexagonal axes)
Symmetry-distinct sites (fractional):
Ce  0.0000  0.0000  0.0000 (multiplicity 3)
Sm  0.0000  0.0000  0.5000 (multiplicity 3)
Pb  0.0000  0.0000  0.2493 (multiplicity 6)

Results
* spin magnetization: 2.908 Bohr magnetons per cell
* energy relative to the elements: -1.154 eV/f.u.

---

VASP calculation (GGA-PBE) on a relaxed structure of CeSm2Pb3.

Cell: 5.879 17.661 6.894 Å, 90.00 90.00 90.00°
Space group Cmmm (No. 65)
Symmetry-distinct sites (fractional):
Ce  0.000  0.165  0.000 (multiplicity 4)
Sm  0.000  0.167  0.500 (multiplicity 4)
Sm  0.000  0.500  0.000 (multiplicity 2)
Sm  0.000  0.500  0.500 (multiplicity 2)
Pb  0.000  0.000  0.255 (multiplicity 4)
Pb  0.000  0.334  0.254 (multiplicity 8)

Results
* spin magnetization: 7.645 Bohr magnetons per cell
* distance to the lowest polymorph of the same formula: 0.000 eV/atom
* energy relative to the elements: -2.645 eV/f.u.

---

Which value of spin magnetization does entry 3 give? 2.908 Bohr magnetons per cell